[1]
Entry from the Alexandria database: ZrTa2Tc after structural relaxation (PBE).

The structure in CIF format:
```
data_ZrTa2Tc
_chemical_formula_sum 'Zr2 Ta4 Tc2'
_cell_length_a 3.263
_cell_length_b 4.822
_cell_length_c 9.296
_cell_angle_alpha 90.00
_cell_angle_beta 90.00
_cell_angle_gamma 90.00
_symmetry_space_group_name_H-M 'C m m m'
_symmetry_Int_Tables_number 65
_symmetry_space_group_name_Hall '-C 2 2'
loop_
_atom_site_label
_atom_site_type_symbol
_atom_site_fract_x
_atom_site_fract_y
_atom_site_fract_z
Zr1 Zr 0.000 0.000 0.000
Ta1 Ta 0.000 0.500 0.275
Tc1 Tc 0.000 0.000 0.500
```

Results
- Energy relative to the lowest polymorph listed for this composition: 0.1734 eV/atom



[2]
Entry from the Alexandria database: CoTc2HIr after structural relaxation (PBE).

The structure in CIF format:
```
data_CoTc2HIr
_chemical_formula_sum 'Co1 Tc2 H1 Ir1'
_cell_length_a 3.834
_cell_length_b 3.834
_cell_length_c 3.820
_cell_angle_alpha 90.00
_cell_angle_beta 90.00
_cell_angle_gamma 90.00
_symmetry_space_group_name_H-M 'P 4/m m m'
_symmetry_Int_Tables_number 123
_symmetry_space_group_name_Hall '-P 4 2'
loop_
_atom_site_label
_atom_site_type_symbol
_atom_site_fract_x
_atom_site_fract_y
_atom_site_fract_z
Co1 Co 0.000 0.000 0.000
Tc1 Tc 0.000 0.500 0.500
H1 H 0.000 0.000 0.500
Ir1 Ir 0.500 0.500 0.000
```

Results
- E: -39.98 eV per formula unit



[3]
Entry from the Alexandria database: MnSb2Au after structural relaxation (PBE).

The structure in CIF format:
```
data_MnSb2Au
_chemical_formula_sum 'Mn1 Sb2 Au1'
_cell_length_a 3.671
_cell_length_b 3.696
_cell_length_c 6.209
_cell_angle_alpha 90.00
_cell_angle_beta 90.00
_cell_angle_gamma 90.00
_symmetry_space_group_name_H-M 'P m m m'
_symmetry_Int_Tables_number 47
loop_
_symmetry_equiv_pos_as_xyz
'x,y,z'
'-x,-y,-z'
'-x,-y,z'
'x,y,-z'
'x,-y,-z'
'-x,y,z'
'-x,y,-z'
'x,-y,z'
loop_
_atom_site_label
_atom_site_type_symbol
_atom_site_fract_x
_atom_site_fract_y
_atom_site_fract_z
Mn1 Mn 0.000 0.000 0.000
Sb1 Sb 0.500 0.500 0.239
Au1 Au 0.000 0.000 0.500
```

Results
- Formation energy (no corrections): 0.18 eV per atom
- Energy relative to the lowest polymorph listed for this composition: 0.1457 eV/atom



[4]
Entry from the Alexandria database: Sc3SnPd after structural relaxation (PBE).

The structure in CIF format:
```
data_Sc3SnPd
_chemical_formula_sum 'Sc3 Sn1 Pd1'
_cell_length_a 5.030
_cell_length_b 5.030
_cell_length_c 5.030
_cell_angle_alpha 90.00
_cell_angle_beta 90.00
_cell_angle_gamma 90.00
_symmetry_space_group_name_H-M 'P m -3 m'
_symmetry_Int_Tables_number 221
_symmetry_space_group_name_Hall '-P 4 2 3'
loop_
_atom_site_label
_atom_site_type_symbol
_atom_site_fract_x
_atom_site_fract_y
_atom_site_fract_z
Sc1 Sc 0.000 0.000 0.500
Sn1 Sn 0.500 0.500 0.500
Pd1 Pd 0.000 0.000 0.000
```

Results
- Energy relative to the lowest polymorph listed for this composition: 0.0000 eV/atom



[5]
Entry from the Alexandria database: GaSnGe after structural relaxation (PBE).

The structure in CIF format:
```
data_GaSnGe
_chemical_formula_sum 'Ga1 Sn1 Ge1'
_cell_length_a 4.0640
_cell_length_b 4.0640
_cell_length_c 4.7990
_cell_angle_alpha 90.00
_cell_angle_beta 90.00
_cell_angle_gamma 120.00
_symmetry_space_group_name_H-M 'P 3 m 1'
_symmetry_Int_Tables_number 156
loop_
_symmetry_equiv_pos_as_xyz
'x,y,z'
'-y,x-y,z'
'-x+y,-x,z'
'-y,-x,z'
'-x+y,y,z'
'x,x-y,z'
loop_
_atom_site_label
_atom_site_type_symbol
_atom_site_fract_x
_atom_site_fract_y
_atom_site_fract_z
Ga1 Ga 0.0000 0.0000 0.0000
Sn1 Sn 0.6667 0.3333 0.3962
Ge1 Ge 0.3333 0.6667 0.7450
```

Results
- Energy relative to the lowest polymorph listed for this composition: 0.0000 eV/atom



[6]
Entry from the Alexandria database: CaTaNb3 after structural relaxation (PBE).

The structure in CIF format:
```
data_CaTaNb3
_chemical_formula_sum 'Ca1 Ta1 Nb3'
_cell_length_a 4.701
_cell_length_b 4.701
_cell_length_c 4.701
_cell_angle_alpha 90.00
_cell_angle_beta 90.00
_cell_angle_gamma 90.00
_symmetry_space_group_name_H-M 'P m -3 m'
_symmetry_Int_Tables_number 221
_symmetry_space_group_name_Hall '-P 4 2 3'
loop_
_atom_site_label
_atom_site_type_symbol
_atom_site_fract_x
_atom_site_fract_y
_atom_site_fract_z
Ca1 Ca 0.000 0.000 0.000
Ta1 Ta 0.500 0.500 0.500
Nb1 Nb 0.000 0.000 0.500
```

Results
- Energy relative to the lowest polymorph listed for this composition: 1.1471 eV/atom



[7]
Entry from the Alexandria database: Sm3Ho8Th after structural relaxation (PBE).

The structure in CIF format:
```
data_Sm3Ho8Th
_chemical_formula_sum 'Sm6 Ho16 Th2'
_cell_length_a 10.834
_cell_length_b 11.384
_cell_length_c 6.267
_cell_angle_alpha 90.00
_cell_angle_beta 90.00
_cell_angle_gamma 90.00
_symmetry_space_group_name_H-M 'I m m 2'
_symmetry_Int_Tables_number 44
loop_
_symmetry_equiv_pos_as_xyz
'x,y,z'
'-x,-y,z'
'-x,y,z'
'x,-y,z'
'x+1/2,y+1/2,z+1/2'
'-x+1/2,-y+1/2,z+1/2'
'-x+1/2,y+1/2,z+1/2'
'x+1/2,-y+1/2,z+1/2'
loop_
_atom_site_label
_atom_site_type_symbol
_atom_site_fract_x
_atom_site_fract_y
_atom_site_fract_z
Sm1 Sm 0.000 0.000 0.000
Sm2 Sm 0.000 0.250 0.332
Ho1 Ho 0.164 0.251 0.840
Ho2 Ho 0.166 0.500 0.508
Ho3 Ho 0.171 0.000 0.505
Th1 Th 0.000 0.500 0.000
```

Results
- E: -57.90 eV per formula unit



[8]
Entry from the Alexandria database: SrNiAs2Pd after structural relaxation (PBE).

The structure in CIF format:
```
data_SrNiAs2Pd
_chemical_formula_sum 'Sr2 Ni2 As4 Pd2'
_cell_length_a 4.324
_cell_length_b 4.324
_cell_length_c 10.326
_cell_angle_alpha 90.00
_cell_angle_beta 90.00
_cell_angle_gamma 90.00
_symmetry_space_group_name_H-M 'I -4 m 2'
_symmetry_Int_Tables_number 119
_symmetry_space_group_name_Hall 'I -4 -2'
loop_
_atom_site_label
_atom_site_type_symbol
_atom_site_fract_x
_atom_site_fract_y
_atom_site_fract_z
Sr1 Sr 0.000 0.000 0.000
Ni1 Ni 0.000 0.500 0.750
As1 As 0.000 0.000 0.370
Pd1 Pd 0.000 0.500 0.250
```

Results
- E: -25.37 eV per formula unit



So what do the calculations give for total magnetic moment? Going down the list: 0.00, 0.00, 3.27, 0.00, 0.00, 0.00, 0.00, 0.00 μB per cell.